Record 1
Crystalline RbIn2Bi at its relaxed geometry, computed with PBE-GGA.

POSCAR file:
```
RbIn2Bi
1.0
-0.5755 1.5341 -4.4386
-3.8657 -1.2174 -2.4413
-6.4103 8.5943 1.2799
In Bi Rb
2 1 1
Cartesian
-6.1771 3.3058 -5.6216 In
-4.6743 5.6052 0.0217 In
-5.4257 4.4555 -2.8000 Bi
0.0000 0.0000 0.0000 Rb
```

Results
Total moment: 0.000 μB per atom
Formation energy: 0.0798 eV per atom

***

Record 2
Crystalline Rb2In2Bi at its relaxed geometry, computed with PBE-GGA.

POSCAR file:
```
Rb2In2Bi
1.0
9.8675 0.0000 0.0000
0.0000 9.8675 0.0000
0.0000 0.0000 4.0609
Bi In Rb
2 4 4
Cartesian
0.0000 0.0000 0.0000 Bi
4.9338 4.9338 0.0000 Bi
8.7805 6.0207 0.0000 In
6.0207 1.0870 0.0000 In
1.0870 3.8468 0.0000 In
3.8468 8.7805 0.0000 In
8.0216 3.0878 2.0305 Rb
3.0878 1.8459 2.0305 Rb
6.7797 8.0216 2.0305 Rb
1.8459 6.7797 2.0305 Rb
```

Results
Total moment: 0.000 μB per atom
Formation energy: 0.1032 eV per atom
Excess energy over the best structure of this formula in the dataset: 205 meV/atom

***

Record 3
Crystalline RbIn2Bi at its relaxed geometry, computed with PBE-GGA.

POSCAR file:
```
RbIn2Bi
1.0
5.1982 0.0000 0.0000
0.0000 5.1982 0.0000
0.0000 0.0000 11.6100
In Rb Bi
4 2 2
Cartesian
2.5991 0.0000 10.9077 In
0.0000 0.0000 5.8050 In
2.5991 2.5991 5.8050 In
0.0000 2.5991 0.7023 In
0.0000 2.5991 8.7744 Rb
2.5991 0.0000 2.8357 Rb
2.5991 0.0000 7.6582 Bi
0.0000 2.5991 3.9518 Bi
```

Results
Total moment: 0.000 μB per atom
Formation energy: -0.0703 eV per atom

***

Record 4
Crystalline RbIn6Bi4 at its relaxed geometry, computed with PBE-GGA.

POSCAR file:
```
RbIn6Bi4
1.0
-1.1954 5.0459 -0.1650
-8.8825 -2.0981 0.1865
4.5405 1.3309 7.8069
Bi In Rb
4 6 1
Cartesian
-6.7800 1.1146 1.6369 Bi
0.0662 0.1879 5.2668 Bi
-3.2580 1.9465 1.5630 Bi
-4.9796 1.6423 4.7324 Bi
-2.2564 2.3371 6.2512 In
-6.1293 -1.3280 3.7912 In
1.2193 3.1581 6.1782 In
-2.6611 -0.5088 3.7184 In
-0.5574 2.6373 3.1234 In
-4.4340 -1.0285 0.6702 In
0.0000 0.0000 0.0000 Rb
```

Results
Total moment: 0.000 μB per atom
Formation energy: -0.0379 eV per atom
Excess energy over the best structure of this formula in the dataset: 11 meV/atom

***

Please write out number 3 again, unchanged.
Crystalline RbIn2Bi at its relaxed geometry, computed with PBE-GGA.

POSCAR file:
```
RbIn2Bi
1.0
5.1982 0.0000 0.0000
0.0000 5.1982 0.0000
0.0000 0.0000 11.6100
In Rb Bi
4 2 2
Cartesian
2.5991 0.0000 10.9077 In
0.0000 0.0000 5.8050 In
2.5991 2.5991 5.8050 In
0.0000 2.5991 0.7023 In
0.0000 2.5991 8.7744 Rb
2.5991 0.0000 2.8357 Rb
2.5991 0.0000 7.6582 Bi
0.0000 2.5991 3.9518 Bi
```

Results
Total moment: 0.000 μB per atom
Formation energy: -0.0703 eV per atom

***

What did the first record say?
Crystalline RbIn2Bi at its relaxed geometry, computed with PBE-GGA.

POSCAR file:
```
RbIn2Bi
1.0
-0.5755 1.5341 -4.4386
-3.8657 -1.2174 -2.4413
-6.4103 8.5943 1.2799
In Bi Rb
2 1 1
Cartesian
-6.1771 3.3058 -5.6216 In
-4.6743 5.6052 0.0217 In
-5.4257 4.4555 -2.8000 Bi
0.0000 0.0000 0.0000 Rb
```

Results
Total moment: 0.000 μB per atom
Formation energy: 0.0798 eV per atom

***

> Which formula does entry 1 have?

RbIn2Bi